[1]
# TlCu2Mo | the Alexandria database | GGA-PBE | optimized geometry
# size of the total moment: 0.99 μB/f.u.
# ρ: 11.07 g cm⁻³
# distance to the lowest polymorph of the same formula: 0.210 eV/atom
# calculated formation energy: 14.67 kcal/mol of atoms
# total energy: -37.69 eV/cell
data_TlCu2Mo
_chemical_formula_sum 'Tl2 Cu4 Mo2'
_cell_length_a 4.002
_cell_length_b 4.002
_cell_length_c 8.004
_cell_angle_alpha 90.00
_cell_angle_beta 90.00
_cell_angle_gamma 90.00
_space_group_name_H-M_alt 'I -4 m 2'
_space_group_IT_number 119
_space_group_name_Hall 'I -4 -2'
loop_
_atom_site_label
_atom_site_type_symbol
_atom_site_fract_x
_atom_site_fract_y
_atom_site_fract_z
_atom_site_occupancy
Tl1 Tl 0.000 0.000 0.000 1
Cu1 Cu 0.000 0.000 0.500 1
Cu2 Cu 0.000 0.500 0.750 1
Mo1 Mo 0.000 0.500 0.250 1

=====

[2]
# KYF2 | the Alexandria database | GGA-PBE | optimized geometry
# formation energy (no corrections): -255.1 kJ/mol of atoms
# size of the total moment: 0.00 μB/f.u.
# ρ: 2.93 g cm⁻³
# distance to the lowest polymorph of the same formula: 0.000 eV/atom
# total energy: -65.64 eV/cell
data_KYF2
_chemical_formula_sum 'K3 Y3 F6'
_cell_length_a 3.8743
_cell_length_b 3.8743
_cell_length_c 21.7163
_cell_angle_alpha 90.00
_cell_angle_beta 90.00
_cell_angle_gamma 120.00
_space_group_name_H-M_alt 'R -3 m'
_space_group_IT_number 166
_space_group_name_Hall '-R 3 2"'
loop_
_atom_site_label
_atom_site_type_symbol
_atom_site_fract_x
_atom_site_fract_y
_atom_site_fract_z
_atom_site_occupancy
K1 K 0.0000 0.0000 0.0000 1
Y1 Y 0.0000 0.0000 0.5000 1
F1 F 0.0000 0.0000 0.4005 1

=====

[3]
# P2OsW | the Alexandria database | GGA-PBE | optimized geometry
# size of the total moment: 0.00 μB/f.u.
# ρ: 12.63 g cm⁻³
# distance to the lowest polymorph of the same formula: 0.041 eV/atom
# calculated formation energy: -2.85 kcal/mol of atoms
# total energy: -70.99 eV/cell
data_P2OsW
_chemical_formula_sum 'P4 Os2 W2'
_cell_length_a 3.122
_cell_length_b 3.377
_cell_length_c 10.878
_cell_angle_alpha 90.00
_cell_angle_beta 90.00
_cell_angle_gamma 90.00
_space_group_name_H-M_alt 'I m m 2'
_space_group_IT_number 44
_space_group_name_Hall 'I 2 -2'
loop_
_atom_site_label
_atom_site_type_symbol
_atom_site_fract_x
_atom_site_fract_y
_atom_site_fract_z
_atom_site_occupancy
P1 P 0.000 0.000 0.000 1
P2 P 0.000 0.500 0.260 1
Os1 Os 0.000 0.000 0.421 1
W1 W 0.000 0.500 0.671 1

=====

[4]
# NbCuCl2 | the Alexandria database | GGA-PBE | optimized geometry
# formation energy (no corrections): 23.2 kJ/mol of atoms
# size of the total moment: 0.00 μB/f.u.
# ρ: 5.95 g cm⁻³
# distance to the lowest polymorph of the same formula: 0.000 eV/atom
# total energy: -67.59 eV/cell
data_NbCuCl2
_chemical_formula_sum 'Nb4 Cu4 Cl8'
_cell_length_a 6.332
_cell_length_b 6.332
_cell_length_c 6.332
_cell_angle_alpha 90.00
_cell_angle_beta 90.00
_cell_angle_gamma 90.00
_space_group_name_H-M_alt 'F m -3 m'
_space_group_IT_number 225
_space_group_name_Hall '-F 4 2 3'
loop_
_atom_site_label
_atom_site_type_symbol
_atom_site_fract_x
_atom_site_fract_y
_atom_site_fract_z
_atom_site_occupancy
Nb1 Nb 0.000 0.000 0.000 1
Cu1 Cu 0.000 0.000 0.500 1
Cl1 Cl 0.250 0.250 0.250 1

=====

[5]
# La6Ni2IrI3 | the Alexandria database | GGA-PBE | optimized geometry
# formation energy (no corrections): -83.6 kJ/mol of atoms
# size of the total moment: 0.00 μB/f.u.
# ρ: 6.61 g cm⁻³
# total energy: -130.08 eV/cell
data_La6Ni2IrI3
_chemical_formula_sum 'La12 Ni4 Ir2 I6'
_cell_length_a 7.317
_cell_length_b 12.688
_cell_length_c 8.599
_cell_angle_alpha 90.00
_cell_angle_beta 106.48
_cell_angle_gamma 90.00
_space_group_name_H-M_alt 'C 1 2/m 1'
_space_group_IT_number 12
_space_group_name_Hall '-C 2y'
loop_
_atom_site_label
_atom_site_type_symbol
_atom_site_fract_x
_atom_site_fract_y
_atom_site_fract_z
_atom_site_occupancy
La1 La 0.228 0.167 0.184 1
La2 La 0.229 0.500 0.185 1
Ni1 Ni 0.000 0.333 0.000 1
Ir1 Ir 0.000 0.000 0.000 1
I1 I 0.000 0.167 0.500 1
I2 I 0.000 0.500 0.500 1

=====

[6]
# GaSnW2 | the Alexandria database | GGA-PBE | optimized geometry
# size of the total moment: 0.00 μB/f.u.
# ρ: 13.59 g cm⁻³
# distance to the lowest polymorph of the same formula: 0.000 eV/atom
# calculated formation energy: 15.04 kcal/mol of atoms
# total energy: -121.31 eV/cell
data_GaSnW2
_chemical_formula_sum 'Ga4 Sn4 W8'
_cell_length_a 6.478
_cell_length_b 6.478
_cell_length_c 6.478
_cell_angle_alpha 90.00
_cell_angle_beta 90.00
_cell_angle_gamma 90.00
_space_group_name_H-M_alt 'F m -3 m'
_space_group_IT_number 225
_space_group_name_Hall '-F 4 2 3'
loop_
_atom_site_label
_atom_site_type_symbol
_atom_site_fract_x
_atom_site_fract_y
_atom_site_fract_z
_atom_site_occupancy
Ga1 Ga 0.000 0.000 0.000 1
Sn1 Sn 0.000 0.000 0.500 1
W1 W 0.250 0.250 0.250 1

=====

[7]
# CsTlAs | the Alexandria database | GGA-PBE | optimized geometry
# size of the total moment: 0.00 μB/f.u.
# ρ: 5.49 g cm⁻³
# distance to the lowest polymorph of the same formula: 0.125 eV/atom
# calculated formation energy: -4.24 kcal/mol of atoms
# total energy: -8.42 eV/cell
data_CsTlAs
_chemical_formula_sum 'Cs1 Tl1 As1'
_cell_length_a 5.0078
_cell_length_b 5.0078
_cell_length_c 5.7375
_cell_angle_alpha 90.00
_cell_angle_beta 90.00
_cell_angle_gamma 120.00
_space_group_name_H-M_alt 'P 3 m 1'
_space_group_IT_number 156
_space_group_name_Hall 'P 3 -2"'
loop_
_atom_site_label
_atom_site_type_symbol
_atom_site_fract_x
_atom_site_fract_y
_atom_site_fract_z
_atom_site_occupancy
Cs1 Cs 0.0000 0.0000 0.0000 1
Tl1 Tl 0.6667 0.3333 0.5009 1
As1 As 0.3333 0.6667 0.4982 1

=====

[8]
# TaNb4W3 | the Alexandria database | GGA-PBE | optimized geometry
# size of the total moment: 0.00 μB/f.u.
# ρ: 13.26 g cm⁻³
# distance to the lowest polymorph of the same formula: 0.000 eV/atom
# calculated formation energy: -1.19 kcal/mol of atoms
# total energy: -182.80 eV/cell
data_TaNb4W3
_chemical_formula_sum 'Ta2 Nb8 W6'
_cell_length_a 6.511
_cell_length_b 6.525
_cell_length_c 6.510
_cell_angle_alpha 90.00
_cell_angle_beta 90.00
_cell_angle_gamma 90.00
_space_group_name_H-M_alt 'P m n a'
_space_group_IT_number 53
_space_group_name_Hall '-P 2ac 2'
loop_
_atom_site_label
_atom_site_type_symbol
_atom_site_fract_x
_atom_site_fract_y
_atom_site_fract_z
_atom_site_occupancy
Ta1 Ta 0.000 0.000 0.000 1
Nb1 Nb 0.000 0.000 0.500 1
Nb2 Nb 0.000 0.500 0.500 1
Nb3 Nb 0.250 0.254 0.250 1
W1 W 0.000 0.500 0.000 1
W2 W 0.250 0.253 0.750 1

=====

[9]
# LaSm3Tl4 | the Alexandria database | GGA-PBE | optimized geometry
# size of the total moment: 0.18 μB/f.u.
# ρ: 9.22 g cm⁻³
# distance to the lowest polymorph of the same formula: 0.147 eV/atom
# calculated formation energy: -5.57 kcal/mol of atoms
# total energy: -60.96 eV/cell
data_LaSm3Tl4
_chemical_formula_sum 'La2 Sm6 Tl8'
_cell_length_a 3.625
_cell_length_b 7.422
_cell_length_c 18.846
_cell_angle_alpha 90.00
_cell_angle_beta 90.00
_cell_angle_gamma 90.00
_space_group_name_H-M_alt 'I m m m'
_space_group_IT_number 71
_space_group_name_Hall '-I 2 2'
loop_
_atom_site_label
_atom_site_type_symbol
_atom_site_fract_x
_atom_site_fract_y
_atom_site_fract_z
_atom_site_occupancy
La1 La 0.000 0.000 0.000 1
Sm1 Sm 0.000 0.000 0.500 1
Sm2 Sm 0.000 0.500 0.284 1
Tl1 Tl 0.000 0.292 0.129 1

=====

[10]
# U2SiMo | the Alexandria database | GGA-PBE | optimized geometry
# formation energy (no corrections): 54.1 kJ/mol of atoms
# size of the total moment: 0.01 μB/f.u.
# ρ: 12.72 g cm⁻³
# distance to the lowest polymorph of the same formula: 0.721 eV/atom
# total energy: -109.77 eV/cell
data_U2SiMo
_chemical_formula_sum 'U6 Si3 Mo3'
_cell_length_a 2.9551
_cell_length_b 2.9551
_cell_length_c 31.0826
_cell_angle_alpha 90.00
_cell_angle_beta 90.00
_cell_angle_gamma 120.00
_space_group_name_H-M_alt 'R -3 m'
_space_group_IT_number 166
_space_group_name_Hall '-R 3 2"'
loop_
_atom_site_label
_atom_site_type_symbol
_atom_site_fract_x
_atom_site_fract_y
_atom_site_fract_z
_atom_site_occupancy
U1 U 0.0000 0.0000 0.0906 1
Si1 Si 0.0000 0.0000 0.0000 1
Mo1 Mo 0.0000 0.0000 0.5000 1

=====

Which value of total energy does entry 4 give? -67.59 eV/cell

=====

The lowest ρ belongs to which entry? KYF2

=====

Look up the size of the total moment of the fifth one. 0.00 μB/f.u.